No. 1
This record from Alexandria describes an optimized crystal structure of ZrIn2Ni. The functional is PBE.

- Formation energy: -150 meV per atom
- N(E_F): 0.704 states/eV per atom
- Magnetic moment: 0.000 μB/cell

abc: 3.2131 3.2131 7.8319
angles: 90.00 90.00 90.00
Fractional positions:
Zr: 0.0000 0.0000 0.0000
In: 0.0000 0.0000 0.5968
In: 0.5000 0.5000 0.2842
Ni: 0.5000 0.5000 0.8077

=====

No. 2
This record from Alexandria describes an optimized crystal structure of ZrIn2Ni9. The functional is PBE.

- Formation energy: -186 meV per atom
- N(E_F): 1.307 states/eV per atom
- Magnetic moment: 1.120 μB/cell

abc: 8.4000 8.4000 8.4000
angles: 33.48 33.48 33.48
Fractional positions:
Zr: 0.0000 0.0000 0.0000
In: 0.1388 0.1388 0.1388
In: 0.8612 0.8612 0.8612
Ni: 0.0803 0.5842 0.5842
Ni: 0.3339 0.3339 0.3339
Ni: 0.4158 0.4158 0.9197
Ni: 0.4158 0.9197 0.4158
Ni: 0.5000 0.5000 0.5000
Ni: 0.5842 0.0803 0.5842
Ni: 0.5842 0.5842 0.0803
Ni: 0.6661 0.6661 0.6661
Ni: 0.9197 0.4158 0.4158

=====

No. 3
This record from Alexandria describes an optimized crystal structure of ZrIn2Ni. The functional is PBE.

- Formation energy: -91 meV per atom
- N(E_F): 0.833 states/eV per atom
- Magnetic moment: 0.001 μB/cell

abc: 3.2463 4.2468 6.0799
angles: 90.00 105.28 90.00
Fractional positions:
Zr: 0.0000 0.0000 0.0000
In: 0.2756 0.0000 0.5483
In: 0.6398 0.5000 0.2815
Ni: 0.4189 0.5000 0.8269

=====

No. 4
This record from Alexandria describes an optimized crystal structure of ZrIn3Ni. The functional is PBE.

- Formation energy: 206 meV per atom
- N(E_F): 0.680 states/eV per atom
- Magnetic moment: 0.000 μB/cell

abc: 4.8494 4.8494 4.8494
angles: 90.00 90.00 90.00
Fractional positions:
Zr: 0.0000 0.0000 0.0000
In: 0.0000 0.5000 0.5000
In: 0.5000 0.0000 0.5000
In: 0.5000 0.5000 0.0000
Ni: 0.5000 0.5000 0.5000

=====

No. 5
This record from Alexandria describes an optimized crystal structure of ZrIn2Ni2. The functional is PBE.

- Formation energy: -61 meV per atom
- N(E_F): 0.723 states/eV per atom
- Magnetic moment: 0.000 μB/cell

abc: 7.7646 7.7646 2.8792
angles: 90.00 90.00 90.00
Fractional positions:
Zr: 0.0000 0.0000 0.0000
Zr: 0.5000 0.5000 0.0000
In: 0.1333 0.3667 0.0000
In: 0.3667 0.8667 0.0000
In: 0.6333 0.1333 0.0000
In: 0.8667 0.6333 0.0000
Ni: 0.1666 0.6666 0.5000
Ni: 0.3334 0.1666 0.5000
Ni: 0.6666 0.8334 0.5000
Ni: 0.8334 0.3334 0.5000

=====

No. 6
This record from Alexandria describes an optimized crystal structure of ZrIn2Ni. The functional is PBE.

- Formation energy: 8 meV per atom
- N(E_F): 0.568 states/eV per atom
- Magnetic moment: 0.000 μB/cell

abc: 7.6310 7.6310 5.7197
angles: 90.00 90.00 90.00
Fractional positions:
Zr: 0.0000 0.0000 0.0000
Zr: 0.0000 0.5000 0.2500
Zr: 0.5000 0.0000 0.7500
Zr: 0.5000 0.5000 0.5000
In: 0.2019 0.2500 0.6250
In: 0.2500 0.7019 0.8750
In: 0.2500 0.7981 0.3750
In: 0.2981 0.2500 0.1250
In: 0.7019 0.7500 0.1250
In: 0.7500 0.2019 0.3750
In: 0.7500 0.2981 0.8750
In: 0.7981 0.7500 0.6250
Ni: 0.0000 0.0000 0.5000
Ni: 0.0000 0.5000 0.7500
Ni: 0.5000 0.0000 0.2500
Ni: 0.5000 0.5000 0.0000